# Sr3Nd2SmTe6 | Alexandria | PBE | optimized geometry
# Raw formation energy, meV per atom: -1549
# Density, g cm⁻³: 5.92
# Magnetic moment, μB per cell: 0.00
data_Sr3Nd2SmTe6
_chemical_formula_sum 'Sr6 Nd4 Sm2 Te12'
_cell_length_a 20.186
_cell_length_b 4.552
_cell_length_c 9.279
_cell_angle_alpha 90.00
_cell_angle_beta 104.97
_cell_angle_gamma 90.00
_space_group_name_H-M_alt 'C 1 2/m 1'
_space_group_IT_number 12
_space_group_name_Hall '-C 2y'
loop_
_atom_site_label
_atom_site_fract_x
_atom_site_fract_y
_atom_site_fract_z
Sr1 0.000 0.000 0.000
Sr2 0.167 0.500 0.334
Nd1 0.168 0.500 0.836
Sm1 0.000 0.000 0.500
Te1 0.002 0.500 0.742
Te2 0.163 0.000 0.588
Te3 0.168 0.000 0.080